(1)
First-principles (PBE) data for a geometry-optimized LuBiRu structure, as listed in the Alexandria database.

The space group is I4mm (No. 107) and the conventional cell measures 3.341, 3.341 and 12.062 Å, with angles of 90.00, 90.00 and 90.00 degrees. The asymmetric unit holds Lu at (0.000, 0.000, 0.000), Bi at (0.000, 0.000, 0.721) and Ru at (0.000, 0.000, 0.363).

The theoretical density is 12.0 Mg/m³. Its total magnetic moment is 0.00 μB per cell. For the volume, the calculation gives 67 Å³/f.u. The formation energy from the elements is -0.229 eV/atom.



(2)
First-principles (PBE) data for a geometry-optimized Ca3FeRh structure, as listed in the Alexandria database.

The space group is Pm-3m (No. 221) and the conventional cell measures 5.123, 5.123 and 5.123 Å, with angles of 90.00, 90.00 and 90.00 degrees. The asymmetric unit holds Ca at (0.000, 0.000, 0.500), Fe at (0.000, 0.000, 0.000) and Rh at (0.500, 0.500, 0.500).

The theoretical density is 3.4 Mg/m³. Its total magnetic moment is 1.05 μB per cell. For the volume, the calculation gives 134 Å³/f.u. The formation energy from the elements is 0.682 eV/atom.



(3)
First-principles (PBE) data for a geometry-optimized K2MoBr structure, as listed in the Alexandria database.

The space group is P4/mmm (No. 123) and the conventional cell measures 6.024, 6.024 and 4.167 Å, with angles of 90.00, 90.00 and 90.00 degrees. The asymmetric unit holds K at (0.000, 0.500, 0.000), Mo at (0.000, 0.000, 0.500) and Br at (0.500, 0.500, 0.500).

The theoretical density is 2.8 Mg/m³. Its total magnetic moment is 5.27 μB per cell. The energy relative to the elements, uncorrected comes out at 0.452 eV/atom. For the volume, the calculation gives 151 Å³/f.u.



(4)
First-principles (PBE) data for a geometry-optimized AgTePdO4 structure, as listed in the Alexandria database.

The space group is Imma (No. 74) and the conventional cell measures 5.867, 6.464 and 10.961 Å, with angles of 90.00, 90.00 and 90.00 degrees. The asymmetric unit holds Ag at (0.000, 0.250, 0.177), Te at (0.000, 0.000, 0.500), Pd at (0.250, 0.250, 0.750), O at (0.000, 0.043, 0.693) and O at (0.222, 0.250, 0.478).

The theoretical density is 6.5 Mg/m³. Its total magnetic moment is 0.00 μB per cell. The energy relative to the elements, uncorrected comes out at -0.499 eV/atom. For the volume, the calculation gives 104 Å³/f.u.



(5)
First-principles (PBE) data for a geometry-optimized CrMo2W6 structure, as listed in the Alexandria database.

The space group is C2/m (No. 12) and the conventional cell measures 9.458, 4.455 and 8.187 Å, with angles of 90.00, 125.21 and 90.00 degrees. The asymmetric unit holds Cr at (0.000, 0.000, 0.000), Mo at (0.166, 0.500, 0.331), W at (0.001, 0.000, 0.670), W at (0.165, 0.500, 0.000) and W at (0.170, 0.500, 0.670).

The theoretical density is 15.9 Mg/m³. Its total magnetic moment is 0.00 μB per cell. For the volume, the calculation gives 141 Å³/f.u. The formation energy from the elements is 0.020 eV/atom.



(6)
First-principles (PBE) data for a geometry-optimized Rb2Dy2PtO6 structure, as listed in the Alexandria database.

The space group is C2/m (No. 12) and the conventional cell measures 5.843, 10.027 and 6.891 Å, with angles of 90.00, 105.02 and 90.00 degrees. The asymmetric unit holds Rb at (0.000, 0.163, 0.000), Dy at (0.000, 0.335, 0.500), Pt at (0.000, 0.000, 0.500), O at (0.205, 0.157, 0.665) and O at (0.245, 0.500, 0.667).

The theoretical density is 6.7 Mg/m³. Its total magnetic moment is 0.00 μB per cell. The energy relative to the elements, uncorrected comes out at -2.122 eV/atom. For the volume, the calculation gives 195 Å³/f.u.



(7)
First-principles (PBE) data for a geometry-optimized BaCd2Mo structure, as listed in the Alexandria database.

The space group is R-3m (No. 166, hexagonal axes) and the conventional cell measures 4.8810, 4.8810 and 17.9906 Å, with angles of 90.00, 90.00 and 120.00 degrees. The asymmetric unit holds Ba at (0.0000, 0.0000, 0.0000), Cd at (0.0000, 0.0000, 0.2004) and Mo at (0.0000, 0.0000, 0.5000).

The theoretical density is 6.1 Mg/m³. Its total magnetic moment is 8.31 μB per cell. For the volume, the calculation gives 124 Å³/f.u. The formation energy from the elements is 0.469 eV/atom.



(8)
First-principles (PBE) data for a geometry-optimized Pu3Zn8Cu structure, as listed in the Alexandria database.

The space group is R3m (No. 160, hexagonal axes) and the conventional cell measures 5.3627, 5.3627 and 26.3807 Å, with angles of 90.00, 90.00 and 120.00 degrees. The asymmetric unit holds Pu at (0.0000, 0.0000, 0.0000), Pu at (0.0000, 0.0000, 0.1272), Pu at (0.0000, 0.0000, 0.6276), Zn at (0.0000, 0.0000, 0.3130), Zn at (0.0000, 0.0000, 0.8152), Zn at (0.0040, 0.5020, 0.0661), Zn at (0.1677, 0.3353, 0.8956) and Cu at (0.0000, 0.0000, 0.4917).

The theoretical density is 10.0 Mg/m³. Its total magnetic moment is 50.62 μB per cell. For the volume, the calculation gives 219 Å³/f.u. The formation energy from the elements is -0.075 eV/atom.



(9)
First-principles (PBE) data for a geometry-optimized MgSnGe structure, as listed in the Alexandria database.

The space group is I4/mmm (No. 139) and the conventional cell measures 3.531, 3.531 and 22.567 Å, with angles of 90.00, 90.00 and 90.00 degrees. The asymmetric unit holds Mg at (0.000, 0.000, 0.147), Sn at (0.000, 0.000, 0.434) and Ge at (0.000, 0.000, 0.276).

The theoretical density is 5.1 Mg/m³. Its total magnetic moment is 0.00 μB per cell. For the volume, the calculation gives 70 Å³/f.u. The formation energy from the elements is -0.006 eV/atom.



(10)
First-principles (PBE) data for a geometry-optimized Tb2YAu structure, as listed in the Alexandria database.

The space group is Pnma (No. 62) and the conventional cell measures 7.013, 9.827 and 6.676 Å, with angles of 90.00, 90.00 and 90.00 degrees. The asymmetric unit holds Tb at (0.196, 0.055, 0.192), Y at (0.014, 0.250, 0.621) and Au at (0.091, 0.750, 0.955).

The theoretical density is 8.7 Mg/m³. Its total magnetic moment is 0.00 μB per cell. For the volume, the calculation gives 115 Å³/f.u. The formation energy from the elements is -0.446 eV/atom.



(11)
First-principles (PBE) data for a geometry-optimized Cs2Pa3Te6 structure, as listed in the Alexandria database.

The space group is C2/m (No. 12) and the conventional cell measures 7.560, 13.099 and 9.744 Å, with angles of 90.00, 105.07 and 90.00 degrees. The asymmetric unit holds Cs at (0.000, 0.166, 0.000), Pa at (0.000, 0.000, 0.500), Pa at (0.000, 0.332, 0.500), Te at (0.228, 0.500, 0.694) and Te at (0.234, 0.165, 0.696).

The theoretical density is 6.1 Mg/m³. Its total magnetic moment is 10.07 μB per cell. The energy relative to the elements, uncorrected comes out at -0.922 eV/atom. For the volume, the calculation gives 466 Å³/f.u.



(12)
First-principles (PBE) data for a geometry-optimized MgZrNp2As4 structure, as listed in the Alexandria database.

The space group is P2/m (No. 10) and the conventional cell measures 6.801, 4.006 and 7.071 Å, with angles of 90.00, 109.95 and 90.00 degrees. The asymmetric unit holds Mg at (0.000, 0.000, 0.000), Zr at (0.000, 0.500, 0.500), Np at (0.500, 0.000, 0.500), Np at (0.500, 0.500, 0.000), As at (0.237, 0.500, 0.248) and As at (0.239, 0.000, 0.744).

The theoretical density is 8.2 Mg/m³. Its total magnetic moment is 0.13 μB per cell. For the volume, the calculation gives 181 Å³/f.u. The formation energy from the elements is -0.722 eV/atom.